(one)
Computed, not measured: crystalline AlCr2Mo2 at its relaxed geometry at the PBE-GGA level of DFT.

Total magnetic moment   0.0000 μB/atom
Space group   No. 139

The structure in POSCAR format:
```
AlCr2Mo2
1.0
4.113 0.000 0.000
0.000 4.113 0.000
0.000 0.000 9.499
Al Cr Mo
2 4 4
Cartesian
0.000 0.000 0.000
2.056 2.056 4.749
0.000 0.000 3.668
0.000 0.000 5.831
2.056 2.056 1.081
2.056 2.056 8.418
0.000 2.056 2.375
0.000 2.056 7.124
2.056 0.000 2.375
2.056 0.000 7.124
```

***

(two)
Computed, not measured: crystalline AlCr2Mo2 at its relaxed geometry at the PBE-GGA level of DFT.

Total magnetic moment   0.5553 μB/atom
Space group   No. 127

The structure in POSCAR format:
```
AlCr2Mo2
1.0
6.970 0.000 0.000
0.000 6.970 0.000
0.000 0.000 3.046
Al Cr Mo
2 4 4
Cartesian
0.000 0.000 0.000
3.485 3.485 0.000
0.915 2.570 0.000
2.570 6.056 0.000
4.400 0.915 0.000
6.056 4.400 0.000
1.221 4.706 1.523
2.264 1.221 1.523
4.706 5.749 1.523
5.749 2.264 1.523
```

***

Stability order, top to bottom: (two), (one)

***

(one)
Computed, not measured: crystalline AlCr3Mo at its relaxed geometry at the PBE-GGA level of DFT.

Total magnetic moment   0.9397 μB/atom
Space group   No. 221

The structure in POSCAR format:
```
AlCr3Mo
1.0
4.338 0.000 0.000
0.000 4.338 0.000
0.000 0.000 4.338
Al Cr Mo
1 3 1
Cartesian
0.000 0.000 0.000
0.000 0.000 2.169
0.000 2.169 0.000
2.169 0.000 0.000
2.169 2.169 2.169
```

***

(two)
Computed, not measured: crystalline AlCr3Mo at its relaxed geometry at the PBE-GGA level of DFT.

Total magnetic moment   1.4444 μB/atom
Space group   No. 221

The structure in POSCAR format:
```
AlCr3Mo
1.0
4.611 0.000 0.000
0.000 4.611 0.000
0.000 0.000 4.611
Al Cr Mo
1 3 1
Cartesian
0.000 0.000 0.000
0.000 2.306 2.306
2.306 0.000 2.306
2.306 2.306 0.000
2.306 2.306 2.306
```

***

Stability order, top to bottom: (two), (one)

***

(one)
Computed, not measured: crystalline AlCrMo3 at its relaxed geometry at the PBE-GGA level of DFT.

Total magnetic moment   0.0000 μB/atom
Space group   No. 221

The structure in POSCAR format:
```
AlCrMo3
1.0
4.478 0.000 0.000
0.000 4.478 0.000
0.000 0.000 4.478
Al Cr Mo
1 1 3
Cartesian
0.000 0.000 0.000
2.239 2.239 2.239
0.000 0.000 2.239
0.000 2.239 0.000
2.239 0.000 0.000
```

***

(two)
Computed, not measured: crystalline AlCrMo3 at its relaxed geometry at the PBE-GGA level of DFT.

Total magnetic moment   0.0000 μB/atom
Space group   No. 221

The structure in POSCAR format:
```
AlCrMo3
1.0
4.479 0.000 0.000
0.000 4.479 0.000
0.000 0.000 4.479
Al Cr Mo
1 1 3
Cartesian
0.000 0.000 0.000
2.240 2.240 2.240
0.000 2.240 2.240
2.240 0.000 2.240
2.240 2.240 0.000
```

***

Stability order, top to bottom: (two), (one)

***

(one)
Computed, not measured: crystalline Al3CrN at its relaxed geometry at the PBE-GGA level of DFT.

Total magnetic moment   0.0000 μB/atom
Space group   No. 221

The structure in POSCAR format:
```
Al3CrN
1.0
3.957 0.000 0.000
0.000 3.957 0.000
0.000 0.000 3.957
Al Cr N
3 1 1
Cartesian
0.000 0.000 1.979
0.000 1.979 0.000
1.979 0.000 0.000
1.979 1.979 1.979
0.000 0.000 0.000
```

***

(two)
Computed, not measured: crystalline Al3CrN at its relaxed geometry at the PBE-GGA level of DFT.

Total magnetic moment   1.1187 μB/atom
Space group   No. 221

The structure in POSCAR format:
```
Al3CrN
1.0
4.775 0.000 0.000
0.000 4.775 0.000
0.000 0.000 4.775
Al Cr N
3 1 1
Cartesian
0.000 0.000 2.388
0.000 2.388 0.000
2.388 0.000 0.000
0.000 0.000 0.000
2.388 2.388 2.388
```

***

Stability order, top to bottom: (one), (two)

***

(one)
Computed, not measured: crystalline AlCrS2N at its relaxed geometry at the PBE-GGA level of DFT.

Total magnetic moment   0.2327 μB/atom
Space group   No. 123

The structure in POSCAR format:
```
AlCrS2N
1.0
4.671 0.000 0.000
0.000 4.671 0.000
0.000 0.000 3.565
Al Cr S N
1 1 2 1
Cartesian
0.000 0.000 0.000
2.335 2.335 1.783
0.000 2.335 0.000
2.335 0.000 0.000
0.000 0.000 1.783
```

***

(two)
Computed, not measured: crystalline AlCrS2N at its relaxed geometry at the PBE-GGA level of DFT.

Total magnetic moment   0.1745 μB/atom
Space group   No. 123

The structure in POSCAR format:
```
AlCrS2N
1.0
4.698 0.000 0.000
0.000 4.698 0.000
0.000 0.000 3.511
Al Cr S N
1 1 2 1
Cartesian
0.000 0.000 0.000
2.349 2.349 1.756
0.000 2.349 1.756
2.349 0.000 1.756
2.349 2.349 0.000
```

***

Stability order, top to bottom: (two), (one)

***

(one)
Computed, not measured: crystalline AlCrSe2N at its relaxed geometry at the PBE-GGA level of DFT.

Total magnetic moment   0.0001 μB/atom
Space group   No. 123

The structure in POSCAR format:
```
AlCrSe2N
1.0
4.937 0.000 0.000
0.000 4.937 0.000
0.000 0.000 3.515
Al Cr Se N
1 1 2 1
Cartesian
0.000 0.000 0.000
2.468 2.468 1.758
0.000 2.468 1.758
2.468 0.000 1.758
2.468 2.468 0.000
```

***

(two)
Computed, not measured: crystalline AlCrSe2N at its relaxed geometry at the PBE-GGA level of DFT.

Total magnetic moment   0.4102 μB/atom
Space group   No. 123

The structure in POSCAR format:
```
AlCrSe2N
1.0
5.046 0.000 0.000
0.000 5.046 0.000
0.000 0.000 3.594
Al Cr Se N
1 1 2 1
Cartesian
0.000 0.000 0.000
2.523 2.523 1.797
0.000 2.523 0.000
2.523 0.000 0.000
0.000 0.000 1.797
```

***

Stability order, top to bottom: (one), (two)

***

(one)
Computed, not measured: crystalline Na3AlCr at its relaxed geometry at the PBE-GGA level of DFT.

Total magnetic moment   1.0246 μB/atom
Space group   No. 221

The structure in POSCAR format:
```
Na3AlCr
1.0
5.662 0.000 0.000
0.000 5.662 0.000
0.000 0.000 5.662
Na Al Cr
3 1 1
Cartesian
0.000 0.000 2.831
0.000 2.831 0.000
2.831 0.000 0.000
2.831 2.831 2.831
0.000 0.000 0.000
```

***

(two)
Computed, not measured: crystalline Na3AlCr at its relaxed geometry at the PBE-GGA level of DFT.

Total magnetic moment   0.2167 μB/atom
Space group   No. 221

The structure in POSCAR format:
```
Na3AlCr
1.0
5.571 0.000 0.000
0.000 5.571 0.000
0.000 0.000 5.571
Na Al Cr
3 1 1
Cartesian
0.000 0.000 2.786
0.000 2.786 0.000
2.786 0.000 0.000
0.000 0.000 0.000
2.786 2.786 2.786
```

***

Stability order, top to bottom: (one), (two)

***

(one)
Computed, not measured: crystalline NaAlCr3 at its relaxed geometry at the PBE-GGA level of DFT.

Total magnetic moment   2.4158 μB/atom
Space group   No. 221

The structure in POSCAR format:
```
NaAlCr3
1.0
4.940 0.000 0.000
0.000 4.940 0.000
0.000 0.000 4.940
Na Al Cr
1 1 3
Cartesian
0.000 0.000 0.000
2.470 2.470 2.470
0.000 2.470 2.470
2.470 0.000 2.470
2.470 2.470 0.000
```

***

(two)
Computed, not measured: crystalline NaAlCr3 at its relaxed geometry at the PBE-GGA level of DFT.

Total magnetic moment   2.4677 μB/atom
Space group   No. 221

The structure in POSCAR format:
```
NaAlCr3
1.0
4.802 0.000 0.000
0.000 4.802 0.000
0.000 0.000 4.802
Na Al Cr
1 1 3
Cartesian
0.000 0.000 0.000
2.401 2.401 2.401
0.000 0.000 2.401
0.000 2.401 0.000
2.401 0.000 0.000
```

***

Stability order, top to bottom: (one), (two)

***

(one)
Computed, not measured: crystalline NbAlCr at its relaxed geometry at the PBE-GGA level of DFT.

Total magnetic moment   0.0000 μB/atom
Space group   No. 38

The structure in POSCAR format:
```
NbAlCr
1.0
8.353 0.000 0.000
0.000 2.492 4.294
0.000 -2.492 4.294
Nb Al Cr
4 4 4
Cartesian
1.518 0.000 0.000
2.573 0.000 5.742
5.780 0.000 5.742
6.835 0.000 0.000
2.044 0.000 2.802
4.177 -1.269 3.620
4.177 1.269 3.620
6.309 0.000 2.802
0.000 0.000 4.303
0.000 -1.184 6.345
0.000 1.184 6.345
4.177 0.000 1.432
```

***

(two)
Computed, not measured: crystalline NbAlCr at its relaxed geometry at the PBE-GGA level of DFT.

Total magnetic moment   0.0001 μB/atom
Space group   No. 107

The structure in POSCAR format:
```
NbAlCr
1.0
3.222 0.000 0.000
0.000 3.222 0.000
0.000 0.000 8.817
Nb Al Cr
2 2 2
Cartesian
0.000 0.000 0.000
1.611 1.611 4.408
0.000 0.000 6.075
1.611 1.611 1.666
0.000 0.000 3.115
1.611 1.611 7.523
```

***

Stability order, top to bottom: (one), (two)

***

(one)
Computed, not measured: crystalline Nb3AlCr at its relaxed geometry at the PBE-GGA level of DFT.

Total magnetic moment   0.0073 μB/atom
Space group   No. 221

The structure in POSCAR format:
```
Nb3AlCr
1.0
4.663 0.000 0.000
0.000 4.663 0.000
0.000 0.000 4.663
Nb Al Cr
3 1 1
Cartesian
0.000 0.000 2.332
0.000 2.332 0.000
2.332 0.000 0.000
0.000 0.000 0.000
2.332 2.332 2.332
```

***

(two)
Computed, not measured: crystalline Nb3AlCr at its relaxed geometry at the PBE-GGA level of DFT.

Total magnetic moment   0.0000 μB/atom
Space group   No. 221

The structure in POSCAR format:
```
Nb3AlCr
1.0
4.607 0.000 0.000
0.000 4.607 0.000
0.000 0.000 4.607
Nb Al Cr
3 1 1
Cartesian
0.000 0.000 2.304
0.000 2.304 0.000
2.304 0.000 0.000
2.304 2.304 2.304
0.000 0.000 0.000
```

***

Stability order, top to bottom: (two), (one)

***

(one)
Computed, not measured: crystalline AlCrNi3 at its relaxed geometry at the PBE-GGA level of DFT.

Total magnetic moment   0.1942 μB/atom
Space group   No. 221

The structure in POSCAR format:
```
AlCrNi3
1.0
4.238 0.000 0.000
0.000 4.238 0.000
0.000 0.000 4.238
Al Cr Ni
1 1 3
Cartesian
0.000 0.000 0.000
2.119 2.119 2.119
0.000 2.119 2.119
2.119 0.000 2.119
2.119 2.119 0.000
```

***

(two)
Computed, not measured: crystalline AlCrNi3 at its relaxed geometry at the PBE-GGA level of DFT.

Total magnetic moment   0.0105 μB/atom
Space group   No. 221

The structure in POSCAR format:
```
AlCrNi3
1.0
4.195 0.000 0.000
0.000 4.195 0.000
0.000 0.000 4.195
Al Cr Ni
1 1 3
Cartesian
0.000 0.000 0.000
2.097 2.097 2.097
0.000 0.000 2.097
0.000 2.097 0.000
2.097 0.000 0.000
```

***

Stability order, top to bottom: (one), (two)

***

(one)
Computed, not measured: crystalline Al2Cr2Ni at its relaxed geometry at the PBE-GGA level of DFT.

Total magnetic moment   0.8190 μB/atom
Space group   No. 127

The structure in POSCAR format:
```
Al2Cr2Ni
1.0
6.066 0.000 0.000
0.000 6.066 0.000
0.000 0.000 3.740
Al Cr Ni
4 4 2
Cartesian
0.883 2.150 0.000
2.150 5.183 0.000
3.917 0.883 0.000
5.183 3.917 0.000
0.978 4.012 1.870
2.055 0.978 1.870
4.012 5.088 1.870
5.088 2.055 1.870
0.000 0.000 0.000
3.033 3.033 0.000
```

***

(two)
Computed, not measured: crystalline Al2Cr2Ni at its relaxed geometry at the PBE-GGA level of DFT.

Total magnetic moment   0.0002 μB/atom
Space group   No. 139

The structure in POSCAR format:
```
Al2Cr2Ni
1.0
3.549 0.000 0.000
0.000 3.549 0.000
0.000 0.000 11.564
Al Cr Ni
4 4 2
Cartesian
0.000 1.774 2.891
0.000 1.774 8.673
1.774 0.000 2.891
1.774 0.000 8.673
0.000 0.000 0.960
0.000 0.000 10.604
1.774 1.774 4.822
1.774 1.774 6.741
0.000 0.000 5.782
1.774 1.774 0.000
```

***

Stability order, top to bottom: (one), (two)